{"formula": "Li10ZnP4S16", "functional": "GGA-PBEsol", "state": "optimized geometry", "dos_at_fermi_per_ev_fu": 0.000, "mass_density_g_cm3": 2.11, "e_form_raw_ev_per_atom": -0.871, "lattice": [[7.8111, 0.0000, 0.0000], [0.0000, 12.2066, -0.0117], [0.0000, -0.0050, 12.7531]], "species": ["P", "S", "Li", "Li", "Li", "S", "Li", "Li", "S", "S", "S", "Li", "Zn", "S", "Li", "S", "S", "Zn", "S", "Li", "S", "S", "S", "Li", "Li", "Li", "Li", "S", "P", "Li", "S", "S", "Li", "Li", "S", "S", "S", "S", "S", "S", "S", "Li", "S", "Li", "S", "Li", "S", "S", "P", "S", "P", "S", "P", "Li", "P", "P", "Li", "S", "S", "P", "S", "S"], "frac_coords": [[0.0021, 0.9965, 0.5916], [0.7908, 0.9396, 0.6682], [0.2778, 0.2525, 0.6541], [0.4885, 0.4899, 0.0796], [0.7525, 0.9957, 0.3402], [0.7861, 0.4522, 0.6586], [0.2475, 0.4957, 0.8402], [0.9891, 0.7460, 0.9265], [0.7757, 0.4393, 0.1657], [0.2243, 0.9393, 0.6657], [0.9945, 0.1704, 0.0957], [0.7517, 0.4987, 0.3515], [0.7420, 0.2474, 0.1543], [0.4970, 0.9155, 0.9139], [0.7415, 0.7439, 0.6551], [0.7073, 0.6949, 0.3378], [0.7133, 0.6931, 0.8352], [0.2580, 0.7474, 0.6543], [0.2139, 0.9522, 0.1586], [0.2480, 0.7577, 0.1521], [0.0135, 0.1637, 0.6029], [0.0068, 0.4472, 0.4386], [0.0003, 0.9440, 0.4399], [0.7222, 0.7525, 0.1541], [0.5115, 0.9899, 0.5796], [0.9945, 0.7432, 0.4198], [0.7520, 0.2577, 0.6521], [0.2092, 0.4396, 0.1682], [0.9979, 0.4965, 0.0916], [0.2557, 0.5015, 0.3483], [0.4951, 0.9199, 0.4067], [0.5074, 0.1878, 0.0597], [0.2434, 0.9990, 0.3394], [0.2585, 0.2439, 0.1551], [0.7704, 0.9476, 0.1597], [0.5173, 0.1858, 0.5550], [0.7234, 0.1981, 0.8333], [0.4926, 0.6878, 0.5597], [0.9997, 0.4440, 0.9399], [0.7232, 0.1937, 0.3308], [0.2768, 0.6937, 0.8308], [0.7566, 0.4990, 0.8394], [0.5030, 0.4155, 0.4139], [0.0109, 0.2460, 0.4265], [0.2867, 0.1931, 0.3352], [0.2483, 0.9987, 0.8515], [0.4827, 0.6858, 0.0550], [0.5049, 0.4199, 0.9067], [0.0097, 0.4965, 0.5927], [0.2927, 0.1949, 0.8378], [0.4978, 0.7517, 0.9073], [0.2766, 0.6981, 0.3333], [0.4905, 0.7525, 0.4101], [0.7443, 0.0015, 0.8483], [0.5095, 0.2525, 0.9101], [0.5022, 0.2517, 0.4073], [0.0055, 0.2432, 0.9198], [0.0055, 0.6704, 0.5957], [0.2296, 0.4476, 0.6597], [0.9903, 0.9965, 0.0927], [0.9865, 0.6637, 0.1029], [0.9932, 0.9472, 0.9386]]}

{"formula": "NbCu3Te4", "functional": "GGA-PBEsol", "state": "optimized geometry", "mass_density_g_cm3": 6.59, "e_form_raw_ev_per_atom": -0.243, "lattice": [[5.8492, 0.0000, 0.0000], [0.0000, 5.8492, 0.0000], [0.0000, 0.0000, 5.8492]], "species": ["Cu", "Cu", "Cu", "Nb", "Te", "Te", "Te", "Te"], "frac_coords": [[0.0000, 0.5000, 0.0000], [0.0000, 0.0000, 0.5000], [0.5000, 0.0000, 0.0000], [0.0000, 0.0000, 0.0000], [0.7382, 0.2618, 0.7382], [0.7382, 0.7382, 0.2618], [0.2618, 0.7382, 0.7382], [0.2618, 0.2618, 0.2618]]}

{"formula": "TiHgF3", "functional": "GGA-PBEsol", "state": "optimized geometry", "dos_at_fermi_per_ev_fu": 3.982, "mass_density_g_cm3": 5.59, "e_form_raw_ev_per_atom": -0.827, "lattice": [[4.4947, 0.0000, 0.0000], [0.0000, 4.4947, 0.0000], [0.0000, 0.0000, 4.4947]], "species": ["Ti", "F", "F", "F", "Hg"], "frac_coords": [[0.5000, 0.5000, 0.5000], [0.5000, 0.0000, 0.0000], [0.0000, 0.5000, 0.0000], [0.0000, 0.0000, 0.5000], [0.0000, 0.0000, 0.0000]]}

{"formula": "KLaTiO4", "functional": "GGA-PBEsol", "state": "optimized geometry", "dos_at_fermi_per_ev_fu": 0.000, "mass_density_g_cm3": 4.91, "e_form_raw_ev_per_atom": -3.029, "lattice": [[-1.2881, 5.0496, -1.4201], [0.8050, -1.2577, -5.2023], [-12.8696, -3.5984, -1.1214]], "species": ["La", "O", "K", "La", "K", "O", "O", "Ti", "O", "La", "La", "O", "O", "O", "O", "O", "O", "K", "O", "O", "O", "O", "Ti", "O", "Ti", "O", "Ti", "K"], "frac_coords": [[0.7500, 0.9928, 0.1047], [0.5000, 0.2500, 0.2226], [0.2500, 0.5056, 0.4067], [0.2500, 0.0072, 0.8953], [0.7500, 0.9944, 0.4067], [0.2500, 0.5088, 0.6123], [0.7500, 0.5226, 0.0684], [0.7500, 0.4981, 0.2573], [0.0000, 0.7500, 0.2298], [0.2500, 0.5072, 0.1047], [0.7500, 0.4928, 0.8953], [0.5000, 0.2500, 0.7702], [0.5000, 0.7500, 0.7774], [0.7500, 0.4912, 0.3877], [0.2500, 0.9774, 0.0684], [0.0000, 0.7500, 0.7774], [0.7500, 0.0226, 0.9316], [0.7500, 0.4944, 0.5933], [0.0000, 0.2500, 0.2226], [0.5000, 0.7500, 0.2298], [0.7500, 0.9912, 0.6123], [0.0000, 0.2500, 0.7702], [0.2500, 0.0019, 0.2573], [0.2500, 0.4774, 0.9316], [0.2500, 0.5019, 0.7427], [0.2500, 0.0088, 0.3877], [0.7500, 0.9981, 0.7427], [0.2500, 0.0056, 0.5933]]}

{"formula": "Ti3TeH", "functional": "GGA-PBEsol", "state": "optimized geometry", "dos_at_fermi_per_ev_fu": 4.750, "mass_density_g_cm3": 6.64, "total_energy_ev_per_atom": -6.83, "lattice": [[4.0833, 0.0000, 0.0000], [0.0000, 4.0833, 0.0000], [0.0000, 0.0000, 4.0833]], "species": ["Te", "Ti", "H", "Ti", "Ti"], "frac_coords": [[0.5000, 0.5000, 0.5000], [0.5000, 0.0000, 0.0000], [0.0000, 0.0000, 0.0000], [0.0000, 0.5000, 0.0000], [0.0000, 0.0000, 0.5000]]}

{"formula": "Ba2LaHfCo", "functional": "GGA-PBEsol", "state": "optimized geometry", "dos_at_fermi_per_ev_fu": 6.454, "mass_density_g_cm3": 6.17, "e_form_kcal_per_mol_atoms": 20.48, "lattice": [[-0.1174, -3.9341, 2.0266], [4.6769, 1.8145, 3.7934], [-4.2018, 2.2417, 4.1081]], "species": ["La", "Ba", "Ba", "Hf", "Co"], "frac_coords": [[0.5000, 0.5000, 0.5000], [0.0000, 0.0000, 0.5000], [0.0000, 0.5000, 0.0000], [0.0000, 0.0000, 0.0000], [0.5000, 0.0000, 0.0000]]}

{"formula": "BaMo4Se", "functional": "GGA-PBEsol", "state": "optimized geometry", "dos_at_fermi_per_ev_fu": 6.028, "mass_density_g_cm3": 8.65, "e_form_raw_ev_per_atom": 0.934, "lattice": [[-3.0149, -4.1018, -1.9779], [0.7194, -5.0743, 1.8868], [-3.8338, -2.3223, 3.1200]], "species": ["Mo", "Ba", "Mo", "Se", "Mo", "Mo"], "frac_coords": [[0.8619, 0.3794, 0.3794], [0.0000, 0.0000, 0.0000], [0.3794, 0.8619, 0.3794], [0.7500, 0.7500, 0.7500], [0.3794, 0.3794, 0.3794], [0.3794, 0.3794, 0.8619]]}

{"formula": "Li2AuCl", "functional": "GGA-PBEsol", "state": "optimized geometry", "polymorph_energy_ev_per_atom": 0.000, "dos_at_fermi_per_ev_fu": 0.190, "mass_density_g_cm3": 6.10, "e_form_raw_ev_per_atom": -0.951, "lattice": [[3.4355, 0.0000, 0.0000], [1.7178, 2.9752, 0.0000], [1.7178, 0.9917, 6.5640]], "species": ["Li", "Cl", "Au", "Li"], "frac_coords": [[0.9243, 0.9243, 0.2270], [0.3331, 0.3331, 0.0006], [0.5006, 0.5006, 0.4983], [0.7420, 0.7420, 0.7741]]}